[1]
A relaxed structure of Y2ThScSe4, computed with PBE-GGA.

* density of states at the Fermi level: 4.9 states/eV per cell
* formation energy without anion corrections: -1.6295 eV per atom
* magnetization: 0.000 μB/f.u.

Cell: 7.0336 4.0395 7.1398 Å, 90.00 109.03 90.00°
Last column: nearest neighbours and their distance in Å.
Space group P2/m (No. 10)
Inequivalent atoms, fractional coordinates:
Y 0.0000 0.0000 0.0000  6 Se 2.83-2.84
Y 0.0000 0.5000 0.5000  6 Se 2.95
Th 0.5000 0.0000 0.5000  6 Se 2.93-2.94
Sc 0.5000 0.5000 0.0000  6 Se 2.82
Se 0.2466 0.5000 0.2351  1 Sc 2.82, 3 Y 2.83-2.95, 2 Th 2.94
Se 0.2572 0.0000 0.7653  2 Sc 2.82, 3 Y 2.84-2.95, 1 Th 2.93

---

[2]
A relaxed structure of CsCu3W, computed with PBE-GGA.

* density of states at the Fermi level: 2.2 states/eV per cell
* magnetization: 3.826 μB/f.u.
* DFT formation energy: 63.44 kcal/mol of atoms

Cell: 5.1110 5.1110 5.1110 Å, 90.00 90.00 90.00°
Last column: nearest neighbours and their distance in Å.
Space group Pm-3m (No. 221)
Inequivalent atoms, fractional coordinates:
Cs 0.0000 0.0000 0.0000  6 Cu 2.56
Cu 0.0000 0.0000 0.5000  2 Cs 2.56
W 0.5000 0.5000 0.5000  12 Cu 3.61

---

Question: The highest magnetization belongs to which entry?
Answer: CsCu3W